! PBE Hf2BeOs, optimized geometry; values from VASP
! ΔH_f (0 K) in eV per atom: -0.40
! Spin magnetization in μB/f.u.: 0.000
! Density of states at the Fermi level in states/eV per atom: 0.270
&SYSTEM
  ibrav = 0, nat = 4, ntyp = 3
/
ATOMIC_SPECIES
Be 9.01 Be.upf
Hf 178.49 Hf.upf
Os 190.23 Os.upf
CELL_PARAMETERS angstrom
3.214 0.000 0.000
0.000 3.214 0.000
0.000 0.000 6.353
ATOMIC_POSITIONS angstrom
Be 1.607 1.607 0.000
Hf 0.000 0.000 1.537
Hf 0.000 0.000 4.816
Os 1.607 1.607 3.177

! PBE Hf3Be8Os, optimized geometry; values from VASP
! ΔH_f (0 K) in eV per atom: -0.23
! Spin magnetization in μB/f.u.: 0.000
! Density of states at the Fermi level in states/eV per atom: 0.538
&SYSTEM
  ibrav = 0, nat = 12, ntyp = 3
/
ATOMIC_SPECIES
Hf 178.49 Hf.upf
Be 9.01 Be.upf
Os 190.23 Os.upf
CELL_PARAMETERS angstrom
4.624 0.000 0.000
2.312 4.005 0.000
2.312 1.335 7.686
ATOMIC_POSITIONS angstrom
Hf 4.624 2.670 6.681
Hf 4.624 2.670 3.772
Hf 6.936 4.005 0.094
Be 8.076 4.663 5.219
Be 4.624 4.012 1.516
Be 6.936 2.688 5.219
Be 3.462 1.999 1.516
Be 5.786 1.999 1.516
Be 6.936 4.005 7.208
Be 2.312 1.335 3.361
Be 5.796 4.663 5.219
Os 6.936 4.005 2.873

! PBE HfBeOs, optimized geometry; values from VASP
! ΔH_f (0 K) in eV per atom: -0.43
! Spin magnetization in μB/f.u.: 0.000
! Energy relative to the lowest polymorph listed for this composition in meV per atom: 108
! Density of states at the Fermi level in states/eV per atom: 0.519
&SYSTEM
  ibrav = 0, nat = 6, ntyp = 3
/
ATOMIC_SPECIES
Be 9.01 Be.upf
Os 190.23 Os.upf
Hf 178.49 Hf.upf
CELL_PARAMETERS angstrom
4.308 0.000 2.419
1.576 4.130 2.239
0.051 -0.040 4.955
ATOMIC_POSITIONS angstrom
Be 0.000 0.000 0.000
Be 2.154 0.000 1.209
Os 2.180 -0.020 3.687
Os 2.942 2.065 2.329
Hf 1.555 2.556 4.798
Hf 4.380 1.534 4.814

! PBE HfBe2Os, optimized geometry; values from VASP
! ΔH_f (0 K) in eV per atom: 0.22
! Spin magnetization in μB/f.u.: 0.000
! Energy relative to the lowest polymorph listed for this composition in meV per atom: 459
! Density of states at the Fermi level in states/eV per atom: 0.448
&SYSTEM
  ibrav = 0, nat = 8, ntyp = 3
/
ATOMIC_SPECIES
Hf 178.49 Hf.upf
Be 9.01 Be.upf
Os 190.23 Os.upf
CELL_PARAMETERS angstrom
-0.190 2.331 -3.099
-1.843 -2.784 -1.981
-8.222 2.675 0.084
ATOMIC_POSITIONS angstrom
Hf -1.016 -0.227 -2.540
Hf -5.540 -0.168 -2.218
Be -6.577 2.367 -1.463
Be -2.441 2.222 -2.755
Be -6.454 3.862 -2.779
Be -3.385 1.105 -4.112
Os -4.714 2.389 -2.777
Os 0.000 0.000 0.000